# BaCr2CdO8

A geometry-optimized BaCr2CdO8 structure (GGA+U, Alexandria).

Output
Size of the total moment (μB/f.u.): 0.00
E (eV per atom): -6.37

Unit cell a=5.2555 b=5.2555 c=22.6845 alpha=90.00 beta=90.00 gamma=120.00
Space group R-3 (No. 148, hexagonal axes)
Symmetry-distinct sites (fractional):
Ba (0.0000, 0.0000, 0.0000) [3 per cell]
Cr (0.0000, 0.0000, 0.2490) [6 per cell]
Cd (0.0000, 0.0000, 0.5000) [3 per cell]
O (0.0000, 0.0000, 0.3222) [6 per cell]
O (0.0079, 0.3074, 0.7726) [18 per cell]